# 1
KNiTe2N | meta-GGA SCAN | single point on PBEsol structure

## Properties
formation energy from raw total energies	0.06	eV/atom
magnetic moment	0.0000	μB per atom

a = 5.697 Å, b = 5.697 Å, c = 3.391 Å
α = 90.00°, β = 90.00°, γ = 90.00°
Space group P4/mmm (No. 123)
Inequivalent atoms, fractional coordinates:
K 0.000 0.000 0.000 x1
Ni 0.500 0.500 0.500 x1
Te 0.000 0.500 0.500 x2
N 0.500 0.500 0.000 x1

***

# 2
KSbNO2 | meta-GGA SCAN | single point on PBEsol structure

## Properties
formation energy from raw total energies	1.45	eV/atom
magnetic moment	0.6022	μB per atom

a = 4.345 Å, b = 4.345 Å, c = 4.212 Å
α = 90.00°, β = 90.00°, γ = 90.00°
Space group P4/mmm (No. 123)
Inequivalent atoms, fractional coordinates:
K 0.000 0.000 0.000 x1
Sb 0.500 0.500 0.500 x1
N 0.000 0.000 0.500 x1
O 0.000 0.500 0.000 x2

***

# 3
KScNO2 | meta-GGA SCAN | single point on PBEsol structure

## Properties
formation energy from raw total energies	-1.37	eV/atom
magnetic moment	0.6000	μB per atom

a = 4.120 Å, b = 4.120 Å, c = 4.407 Å
α = 90.00°, β = 90.00°, γ = 90.00°
Space group P4/mmm (No. 123)
Inequivalent atoms, fractional coordinates:
K 0.000 0.000 0.000 x1
Sc 0.500 0.500 0.500 x1
N 0.500 0.500 0.000 x1
O 0.000 0.500 0.500 x2

***

# 4
KSiN2O | meta-GGA SCAN | single point on PBEsol structure

## Properties
formation energy from raw total energies	2.32	eV/atom
magnetic moment	1.0000	μB per atom

a = 4.687 Å, b = 4.687 Å, c = 4.494 Å
α = 90.00°, β = 90.00°, γ = 90.00°
Space group P4/mmm (No. 123)
Inequivalent atoms, fractional coordinates:
K 0.000 0.000 0.000 x1
Si 0.500 0.500 0.500 x1
N 0.000 0.500 0.000 x2
O 0.000 0.000 0.500 x1

***

# 5
KSrN2O | meta-GGA SCAN | single point on PBEsol structure

## Properties
formation energy from raw total energies	0.84	eV/atom
magnetic moment	1.0000	μB per atom

a = 4.693 Å, b = 4.693 Å, c = 4.577 Å
α = 90.00°, β = 90.00°, γ = 90.00°
Space group P4/mmm (No. 123)
Inequivalent atoms, fractional coordinates:
K 0.000 0.000 0.000 x1
Sr 0.500 0.500 0.500 x1
N 0.000 0.500 0.000 x2
O 0.000 0.000 0.500 x1

***

# 6
KTlNO2 | meta-GGA SCAN | single point on PBEsol structure

## Properties
formation energy from raw total energies	0.91	eV/atom
magnetic moment	1.0000	μB per atom

a = 4.744 Å, b = 4.744 Å, c = 4.955 Å
α = 90.00°, β = 90.00°, γ = 90.00°
Space group P4/mmm (No. 123)
Inequivalent atoms, fractional coordinates:
K 0.000 0.000 0.000 x1
Tl 0.500 0.500 0.500 x1
N 0.000 0.000 0.500 x1
O 0.000 0.500 0.000 x2

***

# 7
KWNO2 | meta-GGA SCAN | single point on PBEsol structure

## Properties
formation energy from raw total energies	-1.57	eV/atom
magnetic moment	0.0000	μB per atom

a = 3.944 Å, b = 3.944 Å, c = 3.935 Å
α = 90.00°, β = 90.00°, γ = 90.00°
Space group P4/mmm (No. 123)
Inequivalent atoms, fractional coordinates:
K 0.000 0.000 0.000 x1
W 0.500 0.500 0.500 x1
N 0.500 0.500 0.000 x1
O 0.000 0.500 0.500 x2

***

# 8
KZnNO2 | meta-GGA SCAN | single point on PBEsol structure

## Properties
formation energy from raw total energies	1.44	eV/atom
magnetic moment	1.2001	μB per atom

a = 4.655 Å, b = 4.655 Å, c = 4.835 Å
α = 90.00°, β = 90.00°, γ = 90.00°
Space group P4/mmm (No. 123)
Inequivalent atoms, fractional coordinates:
K 0.000 0.000 0.000 x1
Zn 0.500 0.500 0.500 x1
N 0.000 0.000 0.500 x1
O 0.000 0.500 0.000 x2

***

Question: What is the formation energy from raw total energies in the fifth record?
Answer: 0.84 eV/atom

***

Question: Look up the formation energy from raw total energies of the third one.
Answer: -1.37 eV/atom

***

Question: Which value of magnetic moment does entry 1 give?
Answer: 0.0000 μB per atom